DFT (PBE-GGA) results for a geometry-optimized TbTm2S structure.

```
TbTm2S
1.0
3.6705 0.0000 0.0000
1.8352 3.1787 0.0000
1.8352 1.0596 9.1327
S Tm Tb
1 2 1
Direct
0.6667 0.6667 0.9998 S
0.2723 0.2723 0.1832 Tm
0.0614 0.0614 0.8157 Tm
0.4996 0.4996 0.5013 Tb
```

* crystal system: trigonal
* spin magnetization: 0.6 μB/cell


DFT (PBE-GGA) results for a geometry-optimized TbTmS structure.

```
TbTmS
1.0
3.7461 0.0000 0.0000
-1.8730 3.2442 0.0000
0.0000 0.0000 6.2823
Tm S Tb
1 1 1
Direct
0.6667 0.3333 0.4031 Tm
0.3333 0.6667 0.6624 S
0.0000 0.0000 0.9345 Tb
```

* crystal system: trigonal
* spin magnetization: 0.0 μB/cell


Record order is preserved below.
DFT total energy: -21.44; -17.04 eV per cell